SrAc2WO6 (GGA+U, optimized geometry); total magnetization = 0.200 μB per atom; ρ = 8.27 Mg/m³; D(E_F) = 0.0000 states/eV/atom; E = -7.531 eV/atom
1.0
6.0079 0.0000 0.0000
2.7685 5.3846 0.0000
2.7915 1.7705 5.0961
Sr Ac W O
1 2 1 6
Direct
0.0000 0.0000 0.0000
0.2708 0.2653 0.2718
0.7292 0.7347 0.7282
0.5000 0.5000 0.5000
0.1624 0.3834 0.6935
0.2972 0.8392 0.6251
0.3822 0.7033 0.1655
0.6178 0.2967 0.8345
0.7028 0.1608 0.3749
0.8376 0.6166 0.3065